No. 1
{"formula": "La2CdNi", "functional": "PBE", "state": "relaxed", "dft_energy_ev_per_fu": -16.89, "m_tot_mub_per_fu": 0.00, "ef_ev_per_atom": -0.08, "dos_ef_per_ev_cell": 3.7, "lattice": [[-1.3835, 0.3289, 3.1985], [0.9798, -3.2733, 0.7604], [7.5171, 2.9352, 2.9497]], "species": ["La", "La", "Ni", "Cd"], "fractional_positions": [[0.5000, 0.5000, 0.3275], [0.0000, 0.0000, 0.9594], [0.0000, 0.0000, 0.5204], [0.5000, 0.5000, 0.6926]]}

=====

No. 2
{"formula": "LaCdNi", "functional": "PBE", "state": "relaxed", "dft_energy_ev_per_fu": -12.73, "m_tot_mub_per_fu": 0.00, "ef_ev_per_atom": -0.37, "dos_ef_per_ev_cell": 4.6, "lattice": [[-0.8180, 2.7838, -2.8276], [-3.7962, -0.1560, 0.9447], [3.1009, 6.4010, 5.4047]], "species": ["Ni", "La", "Ni", "Cd", "Cd", "La"], "fractional_positions": [[0.7500, 0.4546, 0.9091], [0.7500, 0.0935, 0.1871], [0.2500, 0.5454, 0.0909], [0.7500, 0.2930, 0.5861], [0.2500, 0.7070, 0.4139], [0.2500, 0.9065, 0.8129]]}

=====

No. 3
{"formula": "La4Cd5Ni2", "functional": "PBE", "state": "relaxed", "dft_energy_ev_per_fu": -39.45, "m_tot_mub_per_fu": 0.00, "ef_ev_per_atom": -0.33, "dos_ef_per_ev_cell": 9.0, "lattice": [[-1.8850, -3.2208, 0.6719], [1.5233, -2.4273, -7.3617], [8.0776, -3.9521, 3.7167]], "species": ["Cd", "La", "Cd", "Cd", "La", "La", "La", "Cd", "Ni", "Ni", "Cd"], "fractional_positions": [[0.0000, 0.1865, 0.1504], [0.5000, 0.7768, 0.5547], [0.0000, 0.4505, 0.6824], [0.0000, 0.8135, 0.8496], [0.5000, 0.8332, 0.1551], [0.5000, 0.1668, 0.8449], [0.5000, 0.2232, 0.4453], [0.0000, 0.5495, 0.3176], [0.0000, 0.9342, 0.3701], [0.0000, 0.0658, 0.6299], [0.0000, 0.5000, 0.0000]]}

=====

No. 4
{"formula": "LaCdNi2Pb", "functional": "PBE", "state": "relaxed", "dft_energy_ev_per_fu": -18.67, "m_tot_mub_per_fu": 0.00, "ef_ev_per_atom": 0.49, "dos_ef_per_ev_cell": 4.9, "lattice": [[-3.4843, -0.4582, 3.3734], [1.5546, -5.0413, 0.9209], [3.0968, 1.5784, 3.4130]], "species": ["La", "Pb", "Cd", "Ni", "Ni"], "fractional_positions": [[0.5000, 0.5000, 0.5000], [0.0000, 0.5000, 0.0000], [0.0000, 0.0000, 0.0000], [0.5000, 0.0000, 0.0000], [0.0000, 0.0000, 0.5000]]}

=====

No. 5
{"formula": "LaCd2NiPb", "functional": "PBE", "state": "relaxed", "dft_energy_ev_per_fu": -17.36, "e_above_lowest_polymorph_kj_per_mol_fu": 0, "m_tot_mub_per_fu": 0.00, "ef_ev_per_atom": -0.22, "dos_ef_per_ev_cell": 2.3, "lattice": [[5.0724, 0.0000, 0.0000], [0.0000, 5.0724, 0.0000], [0.0000, 0.0000, 5.1001]], "species": ["Pb", "Ni", "Cd", "La", "Cd"], "fractional_positions": [[0.5000, 0.5000, 0.5000], [0.0000, 0.0000, 0.0000], [0.5000, 0.0000, 0.0000], [0.0000, 0.0000, 0.5000], [0.0000, 0.5000, 0.0000]]}

=====

No. 6
{"formula": "LaCd2NiPb", "functional": "PBE", "state": "relaxed", "dft_energy_ev_per_fu": -17.07, "e_above_lowest_polymorph_kj_per_mol_fu": 28, "m_tot_mub_per_fu": 0.00, "ef_ev_per_atom": -0.17, "dos_ef_per_ev_cell": 2.7, "lattice": [[-2.9721, 3.9947, 0.3589], [-0.5849, 0.0102, -4.9576], [-4.0417, -3.0494, 0.4706]], "species": ["Cd", "Ni", "Pb", "La", "Cd"], "fractional_positions": [[0.5000, 0.0000, 0.0000], [0.0000, 0.0000, 0.0000], [0.0000, 0.0000, 0.5000], [0.5000, 0.5000, 0.5000], [0.0000, 0.5000, 0.0000]]}

=====

No. 7
{"formula": "La2CdNiPb", "functional": "PBE", "state": "relaxed", "dft_energy_ev_per_fu": -22.15, "m_tot_mub_per_fu": 0.00, "ef_ev_per_atom": -0.38, "dos_ef_per_ev_cell": 3.9, "lattice": [[-1.0308, -3.3491, 4.0506], [-2.5927, -3.2666, -3.3606], [4.2722, -2.4367, -0.9275]], "species": ["La", "La", "Pb", "Ni", "Cd"], "fractional_positions": [[0.5000, 0.0000, 0.0000], [0.0000, 0.5000, 0.0000], [0.5000, 0.5000, 0.5000], [0.0000, 0.0000, 0.0000], [0.0000, 0.0000, 0.5000]]}

=====

No. 8
{"formula": "La2CdNiPd", "functional": "PBE", "state": "relaxed", "dft_energy_ev_per_fu": -22.03, "m_tot_mub_per_fu": 0.00, "ef_ev_per_atom": -0.06, "dos_ef_per_ev_cell": 5.4, "lattice": [[5.5648, 0.0000, 0.0000], [0.0000, 4.7402, 0.0000], [0.0000, 0.0000, 5.5648]], "species": ["La", "Ni", "Cd", "Pd", "La"], "fractional_positions": [[0.0000, 0.0000, 0.5000], [0.0000, 0.5000, 0.0000], [0.5000, 0.5000, 0.5000], [0.0000, 0.0000, 0.0000], [0.5000, 0.0000, 0.0000]]}

=====

No. 9
{"formula": "LaCdNiPd", "functional": "PBE", "state": "relaxed", "dft_energy_ev_per_fu": -18.32, "m_tot_mub_per_fu": 0.00, "ef_ev_per_atom": -0.37, "dos_ef_per_ev_cell": 3.2, "lattice": [[4.8773, 0.0000, 0.0000], [2.4387, 4.2239, 0.0000], [2.4387, 1.4080, 3.9823]], "species": ["Pd", "Ni", "La", "Cd"], "fractional_positions": [[0.7500, 0.7500, 0.7500], [0.2500, 0.2500, 0.2500], [0.0000, 0.0000, 0.0000], [0.5000, 0.5000, 0.5000]]}

=====

No. 10
{"formula": "LaPmCdNi", "functional": "PBE", "state": "relaxed", "dft_energy_ev_per_fu": -17.11, "m_tot_mub_per_fu": 0.00, "ef_ev_per_atom": -0.18, "dos_ef_per_ev_cell": 3.5, "lattice": [[5.2584, 0.0000, 0.0000], [2.6292, 4.5540, 0.0000], [2.6292, 1.5180, 4.2935]], "species": ["Ni", "La", "Cd", "Pm"], "fractional_positions": [[0.2500, 0.2500, 0.2500], [0.0000, 0.0000, 0.0000], [0.7500, 0.7500, 0.7500], [0.5000, 0.5000, 0.5000]]}

=====

No. 11
{"formula": "LaPrCdNi", "functional": "PBE", "state": "relaxed", "dft_energy_ev_per_fu": -17.08, "m_tot_mub_per_fu": 0.00, "ef_ev_per_atom": -0.17, "dos_ef_per_ev_cell": 3.5, "lattice": [[-4.5667, -2.0401, 1.7421], [-1.2332, -5.0365, -1.0794], [0.0206, -3.6188, 3.8673]], "species": ["Pr", "La", "Cd", "Ni"], "fractional_positions": [[0.5000, 0.5000, 0.5000], [0.0000, 0.0000, 0.0000], [0.7500, 0.7500, 0.7500], [0.2500, 0.2500, 0.2500]]}

=====

No. 12
{"formula": "La2CdNi2Pt5", "functional": "PBE", "state": "relaxed", "dft_energy_ev_per_fu": -60.06, "m_tot_mub_per_fu": 0.00, "ef_ev_per_atom": -0.75, "dos_ef_per_ev_cell": 14.2, "lattice": [[4.0920, 0.0000, 0.0000], [0.0000, 9.4335, 0.0000], [0.0000, 0.0000, 9.4335]], "species": ["Ni", "Pt", "Pt", "La", "La", "La", "Pt", "Ni", "Cd", "La", "Ni", "Pt", "Pt", "Pt", "Pt", "Cd", "Pt", "Pt", "Pt", "Ni"], "fractional_positions": [[0.0000, 0.6207, 0.8793], [0.5000, 0.5663, 0.7117], [0.5000, 0.2117, 0.0663], [0.0000, 0.1775, 0.3225], [0.0000, 0.6775, 0.1775], [0.0000, 0.3225, 0.8225], [0.5000, 0.7883, 0.9337], [0.0000, 0.8793, 0.3793], [0.0000, 0.5000, 0.5000], [0.0000, 0.8225, 0.6775], [0.0000, 0.3793, 0.1207], [0.5000, 0.2883, 0.5663], [0.5000, 0.0663, 0.7883], [0.5000, 0.9337, 0.2117], [0.5000, 0.4337, 0.2883], [0.0000, 0.0000, 0.0000], [0.5000, 0.7117, 0.4337], [0.5000, 0.5000, 0.0000], [0.5000, 0.0000, 0.5000], [0.0000, 0.1207, 0.6207]]}